VASP calculation (GGA-PBE) on crystalline Ti2GaSn at its relaxed geometry.

Cell lengths 3.5242, 3.5242, 5.7601 Å; angles 90.00, 90.00, 90.00 degrees
Closest atoms and distances in Å follow each position.
Sites, in units of the cell vectors:
1 Ti 0.0000 0.0000 0.2388  2 Ti 2.75-3.01, 4 Ga 2.85, 4 Sn 2.91
2 Ti 0.0000 0.0000 0.7612  2 Ti 2.75-3.01, 4 Ga 2.85, 4 Sn 2.91
3 Ga 0.5000 0.5000 0.0000  8 Ti 2.85, 2 Sn 2.88
4 Sn 0.5000 0.5000 0.5000  2 Ga 2.88, 8 Ti 2.91

Calculated values
Symmetry   P4/mmm (123)
ΔE_f   -0.215 eV/atom
Calculated density   6596 kg/m³
N(E_F)   1.393 states/eV/atom